First-principles (PBE) data for a geometry-optimized Bi3Sb2Pb8 structure, as listed in Alexandria via LeMat-Bulk.

DFT total energy = -3.743 eV/atom
formation energy without anion corrections = 0.0692 eV per atom
calculated volume = 429.7 Å³/cell

a = 9.055 Å, b = 9.055 Å, c = 6.258 Å
α = 103.58°, β = 103.58°, γ = 60.49°
Sites, in units of the cell vectors:
Bi (0.000, 0.000, 0.000)
Bi (0.191, 0.809, 0.500)
Bi (0.809, 0.191, 0.500)
Sb (0.279, 0.279, 0.388)
Sb (0.721, 0.721, 0.612)
Pb (0.113, 0.588, 0.788)
Pb (0.180, 0.180, 0.815)
Pb (0.412, 0.887, 0.212)
Pb (0.445, 0.445, 0.212)
Pb (0.555, 0.555, 0.788)
Pb (0.588, 0.113, 0.788)
Pb (0.820, 0.820, 0.185)
Pb (0.887, 0.412, 0.212)

---

First-principles (PBE) data for a geometry-optimized LaYSb2 structure, as listed in Alexandria via LeMat-Bulk.

DFT total energy = -5.871 eV/atom
formation energy without anion corrections = -0.9624 eV per atom
calculated volume = 118.6 Å³/cell

a = 3.723 Å, b = 4.110 Å, c = 7.912 Å
α = 90.00°, β = 101.50°, γ = 90.00°
Sites, in units of the cell vectors:
La (0.000, 0.000, 0.000)
Y (0.000, 0.000, 0.500)
Sb (0.484, 0.500, 0.738)
Sb (0.516, 0.500, 0.262)

---

First-principles (PBE) data for a geometry-optimized TaAl2Ni2 structure, as listed in Alexandria via LeMat-Bulk.

DFT total energy = -6.525 eV/atom
calculated volume = 136.0 Å³/cell
formation energy from the elements = -0.345 eV per atom

a = 7.148 Å, b = 7.148 Å, c = 2.662 Å
α = 90.00°, β = 90.00°, γ = 90.00°
Sites, in units of the cell vectors:
Ta (0.000, 0.000, 0.000)
Ta (0.500, 0.500, 0.000)
Al (0.132, 0.368, 0.000)
Al (0.368, 0.868, 0.000)
Al (0.632, 0.132, 0.000)
Al (0.868, 0.632, 0.000)
Ni (0.165, 0.665, 0.500)
Ni (0.335, 0.165, 0.500)
Ni (0.665, 0.835, 0.500)
Ni (0.835, 0.335, 0.500)

---

First-principles (PBE) data for a geometry-optimized PrHo2Er structure, as listed in Alexandria via LeMat-Bulk.

DFT total energy = -4.579 eV/atom
calculated volume = 259.2 Å³/cell
formation energy from the elements = 0.046 eV per atom

a = 3.533 Å, b = 5.451 Å, c = 13.459 Å
α = 90.00°, β = 90.00°, γ = 90.00°
Sites, in units of the cell vectors:
Pr (0.250, 0.250, 0.203)
Pr (0.750, 0.750, 0.797)
Ho (0.250, 0.250, 0.936)
Ho (0.250, 0.750, 0.542)
Ho (0.750, 0.250, 0.458)
Ho (0.750, 0.750, 0.064)
Er (0.250, 0.250, 0.685)
Er (0.750, 0.750, 0.315)

---

First-principles (PBE) data for a geometry-optimized HRu2W structure, as listed in Alexandria via LeMat-Bulk.

DFT total energy = -8.488 eV/atom
calculated volume = 191.0 Å³/cell

a = 6.083 Å, b = 6.083 Å, c = 5.162 Å
α = 90.00°, β = 90.00°, γ = 90.00°
Sites, in units of the cell vectors:
H (0.000, 0.000, 0.000)
H (0.000, 0.500, 0.250)
H (0.500, 0.000, 0.750)
H (0.500, 0.500, 0.500)
Ru (0.157, 0.250, 0.125)
Ru (0.250, 0.657, 0.375)
Ru (0.250, 0.843, 0.875)
Ru (0.343, 0.250, 0.625)
Ru (0.657, 0.750, 0.625)
Ru (0.750, 0.157, 0.875)
Ru (0.750, 0.343, 0.375)
Ru (0.843, 0.750, 0.125)
W (0.000, 0.000, 0.500)
W (0.000, 0.500, 0.750)
W (0.500, 0.000, 0.250)
W (0.500, 0.500, 0.000)

---

First-principles (PBE) data for a geometry-optimized CrCdFe2 structure, as listed in Alexandria via LeMat-Bulk.

DFT total energy = -6.465 eV/atom
calculated volume = 114.3 Å³/cell
formation energy from the elements = 0.401 eV per atom

a = 2.939 Å, b = 4.449 Å, c = 8.740 Å
α = 90.00°, β = 90.00°, γ = 90.00°
Sites, in units of the cell vectors:
Cr (0.000, 0.000, 0.000)
Cr (0.500, 0.500, 0.500)
Cd (0.000, 0.500, 0.779)
Cd (0.500, 0.000, 0.279)
Fe (0.000, 0.000, 0.548)
Fe (0.000, 0.500, 0.262)
Fe (0.500, 0.000, 0.762)
Fe (0.500, 0.500, 0.048)

---

First-principles (PBE) data for a geometry-optimized PuThNpN3 structure, as listed in Alexandria via LeMat-Bulk.

DFT total energy = -10.912 eV/atom
formation energy without anion corrections = -0.9667 eV per atom
calculated volume = 221.7 Å³/cell

a = 7.065 Å, b = 3.624 Å, c = 8.664 Å
α = 90.00°, β = 91.12°, γ = 90.00°
Sites, in units of the cell vectors:
Pu (0.135, 0.250, 0.123)
Pu (0.865, 0.750, 0.877)
Th (0.387, 0.750, 0.831)
Th (0.613, 0.250, 0.169)
Np (0.050, 0.250, 0.592)
Np (0.950, 0.750, 0.408)
N (0.125, 0.250, 0.852)
N (0.224, 0.750, 0.585)
N (0.370, 0.750, 0.110)
N (0.630, 0.250, 0.890)
N (0.776, 0.250, 0.415)
N (0.875, 0.750, 0.148)

---

First-principles (PBE) data for a geometry-optimized AlCo8B2 structure, as listed in Alexandria via LeMat-Bulk.

DFT total energy = -6.854 eV/atom
calculated volume = 112.2 Å³/cell
formation energy from the elements = -0.132 eV per atom

a = 5.635 Å, b = 5.635 Å, c = 3.990 Å
α = 98.97°, β = 98.97°, γ = 112.72°
Sites, in units of the cell vectors:
Al (0.000, 0.000, 0.000)
Co (0.075, 0.331, 0.588)
Co (0.254, 0.746, 0.000)
Co (0.331, 0.075, 0.588)
Co (0.402, 0.402, 0.200)
Co (0.598, 0.598, 0.800)
Co (0.669, 0.925, 0.412)
Co (0.746, 0.254, 0.000)
Co (0.925, 0.669, 0.412)
B (0.312, 0.688, 0.500)
B (0.688, 0.312, 0.500)

---

First-principles (PBE) data for a geometry-optimized K2TlCu2F6 structure, as listed in Alexandria via LeMat-Bulk.

DFT total energy = -4.050 eV/atom
formation energy without anion corrections = -1.8694 eV per atom
calculated volume = 241.0 Å³/cell

a = 7.732 Å, b = 7.732 Å, c = 7.732 Å
α = 48.91°, β = 48.91°, γ = 48.91°
Sites, in units of the cell vectors:
K (0.196, 0.196, 0.196)
K (0.804, 0.804, 0.804)
Tl (0.000, 0.000, 0.000)
Cu (0.436, 0.436, 0.436)
Cu (0.564, 0.564, 0.564)
F (0.224, 0.738, 0.738)
F (0.262, 0.262, 0.776)
F (0.262, 0.776, 0.262)
F (0.738, 0.224, 0.738)
F (0.738, 0.738, 0.224)
F (0.776, 0.262, 0.262)

---

First-principles (PBE) data for a geometry-optimized InAg2Pt2 structure, as listed in Alexandria via LeMat-Bulk.

DFT total energy = -4.034 eV/atom
calculated volume = 193.1 Å³/cell
formation energy from the elements = 0.071 eV per atom

a = 3.759 Å, b = 3.759 Å, c = 13.663 Å
α = 90.00°, β = 90.00°, γ = 90.00°
Sites, in units of the cell vectors:
In (0.000, 0.000, 0.000)
In (0.500, 0.500, 0.500)
Ag (0.000, 0.500, 0.250)
Ag (0.000, 0.500, 0.750)
Ag (0.500, 0.000, 0.250)
Ag (0.500, 0.000, 0.750)
Pt (0.000, 0.000, 0.404)
Pt (0.000, 0.000, 0.596)
Pt (0.500, 0.500, 0.096)
Pt (0.500, 0.500, 0.904)

---

First-principles (PBE) data for a geometry-optimized YNb2Cr2 structure, as listed in Alexandria via LeMat-Bulk.

DFT total energy = -8.808 eV/atom
calculated volume = 185.7 Å³/cell
formation energy from the elements = 0.362 eV per atom

a = 7.630 Å, b = 7.630 Å, c = 3.191 Å
α = 90.00°, β = 90.00°, γ = 90.00°
Sites, in units of the cell vectors:
Y (0.000, 0.000, 0.000)
Y (0.500, 0.500, 0.000)
Nb (0.146, 0.354, 0.500)
Nb (0.354, 0.854, 0.500)
Nb (0.646, 0.146, 0.500)
Nb (0.854, 0.646, 0.500)
Cr (0.131, 0.631, 0.000)
Cr (0.369, 0.131, 0.000)
Cr (0.631, 0.869, 0.000)
Cr (0.869, 0.369, 0.000)

---

First-principles (PBE) data for a geometry-optimized K4Pr structure, as listed in Alexandria via LeMat-Bulk.

DFT total energy = -1.151 eV/atom
calculated volume = 391.4 Å³/cell
formation energy from the elements = 0.683 eV per atom

a = 7.315 Å, b = 7.315 Å, c = 7.315 Å
α = 90.00°, β = 90.00°, γ = 90.00°
Sites, in units of the cell vectors:
K (0.000, 0.000, 0.000)
K (0.000, 0.500, 0.500)
K (0.500, 0.000, 0.500)
K (0.500, 0.500, 0.000)
Pr (0.500, 0.500, 0.500)

---

First-principles (PBE) data for a geometry-optimized U2TaSe6 structure, as listed in Alexandria via LeMat-Bulk.

DFT total energy = -7.120 eV/atom
formation energy without anion corrections = -0.9715 eV per atom
calculated volume = 268.3 Å³/cell

a = 7.797 Å, b = 7.797 Å, c = 9.672 Å
α = 107.98°, β = 107.98°, γ = 28.77°
Sites, in units of the cell vectors:
U (0.162, 0.162, 0.322)
U (0.838, 0.838, 0.678)
Ta (0.500, 0.500, 0.000)
Se (0.125, 0.125, 0.020)
Se (0.196, 0.196, 0.628)
Se (0.480, 0.480, 0.722)
Se (0.520, 0.520, 0.278)
Se (0.804, 0.804, 0.372)
Se (0.875, 0.875, 0.980)

---

no.,DOS at the Fermi energy (states/eV per atom)
1,0.44
2,0.39
3,0.83
4,1.56
5,0.80
6,1.00
7,1.48
8,1.06
9,1.22
10,0.56
11,1.29
12,2.64
13,0.94